[1]
DFT (GGA-PBE) results for crystalline BaLiAlF6 at its relaxed geometry.

Cell: 6.9680 6.9680 6.9680 Å, 119.33 118.88 91.55°
Positions (direct):
Ba (0.3579, 0.1079, 0.2500)
Ba (0.6421, 0.8921, 0.7500)
Li (0.0000, 0.5000, 0.5000)
Li (0.5000, 0.5000, 0.0000)
Al (0.0000, 0.0000, 0.5000)
Al (0.0000, 0.5000, 0.0000)
F (0.0509, 0.3259, 0.1320)
F (0.0509, 0.9189, 0.7250)
F (0.0577, 0.3077, 0.7500)
F (0.3060, 0.0811, 0.6320)
F (0.3060, 0.6741, 0.2250)
F (0.3636, 0.6136, 0.7500)
F (0.6364, 0.3864, 0.2500)
F (0.6940, 0.3259, 0.7750)
F (0.6940, 0.9189, 0.3680)
F (0.9423, 0.6923, 0.2500)
F (0.9491, 0.0811, 0.2750)
F (0.9491, 0.6741, 0.8680)

Formation energy (no corrections) = -3.508 eV per atom
Crystal system = orthorhombic

=====

[2]
DFT (GGA-PBE) results for crystalline Sr3Ga4Pd2 at its relaxed geometry.

Cell: 6.2815 6.2815 8.9374 Å, 102.63 102.63 41.20°
Positions (direct):
Sr (0.0000, 0.0000, 0.0000)
Sr (0.3277, 0.3277, 0.3396)
Sr (0.6723, 0.6723, 0.6604)
Ga (0.0489, 0.0489, 0.3787)
Ga (0.2758, 0.2758, 0.9379)
Ga (0.7242, 0.7242, 0.0621)
Ga (0.9511, 0.9511, 0.6213)
Pd (0.3908, 0.3908, 0.7244)
Pd (0.6092, 0.6092, 0.2756)

Crystal system = monoclinic
Energy of formation from the pure elements = -13.72 kcal/mol of atoms

=====

[3]
DFT (GGA-PBE) results for crystalline BeFeSi2 at its relaxed geometry.

Cell: 5.2186 5.2186 5.2186 Å, 102.01 102.01 125.73°
Positions (direct):
Be (0.0000, 0.0000, 0.0000)
Be (0.7500, 0.2500, 0.5000)
Fe (0.2500, 0.7500, 0.5000)
Fe (0.5000, 0.5000, 0.0000)
Si (0.1170, 0.1250, 0.4920)
Si (0.3750, 0.8830, 0.0080)
Si (0.6330, 0.6250, 0.5080)
Si (0.8750, 0.3670, 0.9920)

Formation energy (no corrections) = 0.467 eV per atom
Crystal system = tetragonal

=====

[4]
DFT (GGA-PBE) results for crystalline SmY4Tl at its relaxed geometry.

Cell: 10.9467 10.9467 6.5553 Å, 90.00 90.00 150.20°
Positions (direct):
Sm (0.1362, 0.8638, 0.5000)
Sm (0.8638, 0.1362, 0.0000)
Y (0.0622, 0.9378, 0.0058)
Y (0.2543, 0.7457, 0.1241)
Y (0.3166, 0.6834, 0.6433)
Y (0.4598, 0.5402, 0.8296)
Y (0.5402, 0.4598, 0.3296)
Y (0.6834, 0.3166, 0.1433)
Y (0.7457, 0.2543, 0.6241)
Y (0.9378, 0.0622, 0.5058)
Tl (0.3984, 0.6016, 0.2603)
Tl (0.6016, 0.3984, 0.7603)

Crystal system = orthorhombic
Energy of formation from the pure elements = 0.54 kcal/mol of atoms